Record 1
Compound: Ba2AlGe3
Source: Alexandria
Functional: PBE-GGA
Structure: relaxed

Values from the calculation:
The total energy is -24.203 eV per formula unit. The distance to the lowest polymorph of the same formula comes out at 0.02 eV/f.u. The space-group type is Fmmm. Its formation energy is -2.76 eV/f.u.

a b c (Å): 9.146 8.868 6.743
angles (deg): 70.23 65.85 43.93
Fractional positions:
Ba 0.239 0.761 0.239
Ba 0.250 0.250 0.250
Ba 0.750 0.750 0.750
Ba 0.761 0.239 0.761
Al 0.335 0.335 0.665
Al 0.665 0.665 0.335
Ge 0.168 0.168 0.832
Ge 0.172 0.659 0.828
Ge 0.341 0.828 0.659
Ge 0.659 0.172 0.341
Ge 0.828 0.341 0.172
Ge 0.832 0.832 0.168


Record 2
Compound: Ba10Al3Ge7
Source: Alexandria
Functional: PBE-GGA
Structure: relaxed

Values from the calculation:
The total energy is -72.912 eV per formula unit. The space-group type is P6_3/mcm. Its formation energy is -10.14 eV/f.u.

a b c (Å): 9.873 9.873 16.616
angles (deg): 90.00 90.00 120.00
Fractional positions:
Ba 0.000 0.260 0.103
Ba 0.000 0.260 0.397
Ba 0.000 0.740 0.603
Ba 0.000 0.740 0.897
Ba 0.260 0.000 0.103
Ba 0.260 0.000 0.397
Ba 0.260 0.260 0.603
Ba 0.260 0.260 0.897
Ba 0.333 0.667 0.000
Ba 0.333 0.667 0.250
Ba 0.333 0.667 0.500
Ba 0.333 0.667 0.750
Ba 0.667 0.333 0.000
Ba 0.667 0.333 0.250
Ba 0.667 0.333 0.500
Ba 0.667 0.333 0.750
Ba 0.740 0.000 0.603
Ba 0.740 0.000 0.897
Ba 0.740 0.740 0.103
Ba 0.740 0.740 0.397
Al 0.000 0.269 0.750
Al 0.000 0.731 0.250
Al 0.269 0.000 0.750
Al 0.269 0.269 0.250
Al 0.731 0.000 0.250
Al 0.731 0.731 0.750
Ge 0.000 0.000 0.250
Ge 0.000 0.000 0.750
Ge 0.000 0.393 0.617
Ge 0.000 0.393 0.883
Ge 0.000 0.607 0.117
Ge 0.000 0.607 0.383
Ge 0.393 0.000 0.617
Ge 0.393 0.000 0.883
Ge 0.393 0.393 0.117
Ge 0.393 0.393 0.383
Ge 0.607 0.000 0.117
Ge 0.607 0.000 0.383
Ge 0.607 0.607 0.617
Ge 0.607 0.607 0.883


Record 3
Compound: Ba2Al2Ge
Source: Alexandria
Functional: PBE-GGA
Structure: relaxed

Values from the calculation:
The total energy is -16.562 eV per formula unit. The distance to the lowest polymorph of the same formula comes out at 0.62 eV/f.u. The space-group type is P4/mbm. Its formation energy is -0.61 eV/f.u.

a b c (Å): 7.434 7.434 5.430
angles (deg): 90.00 90.00 90.00
Fractional positions:
Ba 0.179 0.321 0.000
Ba 0.321 0.821 0.000
Ba 0.679 0.179 0.000
Ba 0.821 0.679 0.000
Al 0.129 0.629 0.500
Al 0.371 0.129 0.500
Al 0.629 0.871 0.500
Al 0.871 0.371 0.500
Ge 0.000 0.000 0.500
Ge 0.500 0.500 0.500